Version w
Density functional theory data (PBE) for a relaxed Ni2TeCl crystal.

total magnetization = 0.001 μB/cell

Geometry as POSCAR:
```
Ni2TeCl
1.0
4.588 0.012 0.000
-0.014 4.588 0.000
0.000 0.000 3.118
Ni Cl Te
2 1 1
Cartesian
2.287 2.300 0.000
0.000 0.000 0.000
-0.007 2.294 1.559
2.294 0.006 1.559
```



Version x
Density functional theory data (PBE) for a relaxed Ni2TeCl crystal.

total magnetization = 0.000 μB/cell

Geometry as POSCAR:
```
Ni2TeCl
1.0
-0.214 -1.470 -2.933
-0.745 -2.840 1.478
-6.293 1.498 -0.293
Cl Te Ni
1 1 2
Cartesian
-5.199 -1.031 -0.947
-2.052 -1.780 -0.801
-0.279 0.066 -0.013
-2.867 0.683 -0.133
```



Most favorable structure: version x. The second most favorable one is 0.112 eV/atom above it.



Version w
Density functional theory data (PBE) for a relaxed Ni2TeCl crystal.

total magnetization = 1.306 μB/cell

Geometry as POSCAR:
```
Ni2TeCl
1.0
-6.532 2.102 1.871
-6.274 -2.866 1.735
7.079 0.351 0.592
Cl Ni Te
1 2 1
Cartesian
-2.799 -1.449 2.065
-2.928 1.036 2.133
0.000 0.000 0.000
-6.403 -0.382 1.803
```



Version x
Density functional theory data (PBE) for a relaxed Ni2TeCl crystal.

total magnetization = 0.419 μB/cell

Geometry as POSCAR:
```
Ni2TeCl
1.0
5.881 0.540 0.117
1.209 5.780 0.117
1.559 1.390 2.399
Te Cl Ni
1 1 2
Cartesian
3.720 0.965 1.258
1.384 3.585 1.258
0.000 0.000 0.000
3.545 3.160 0.117
```



Most favorable structure: version x. The second most favorable one is 0.067 eV/atom above it.



Version w
Density functional theory data (PBE) for a relaxed Ti2NiCl2 crystal.

total magnetization = 0.000 μB/cell

Geometry as POSCAR:
```
Ti2NiCl2
1.0
7.015 0.000 0.000
0.000 7.015 0.000
0.000 0.000 3.080
Ti Ni Cl
4 2 4
Cartesian
4.627 1.120 0.000
5.894 4.627 0.000
1.120 2.387 0.000
2.387 5.894 0.000
3.507 3.507 0.000
0.000 0.000 0.000
0.977 4.484 1.540
6.038 2.530 1.540
2.530 0.977 1.540
4.484 6.038 1.540
```



Version x
Density functional theory data (PBE) for a relaxed Ti2NiCl2 crystal.

total magnetization = 2.434 μB/cell

Geometry as POSCAR:
```
Ti2NiCl2
1.0
3.940 0.000 0.000
0.000 3.940 0.000
1.970 1.970 5.784
Ni Cl Ti
1 2 2
Cartesian
0.000 0.000 0.000
3.940 1.970 2.892
1.970 3.940 2.892
1.970 1.970 1.263
3.940 3.940 4.521
```



Most favorable structure: version x. The second most favorable one is 0.018 eV/atom above it.



Version w
Density functional theory data (PBE) for a relaxed TlNiCl2 crystal.

total magnetization = 1.000 μB/cell

Geometry as POSCAR:
```
TlNiCl2
1.0
-1.481 -3.421 -3.435
-3.201 1.340 -3.695
1.647 0.334 -4.783
Cl Ni Tl
2 1 1
Cartesian
-2.277 -1.311 -8.935
-0.759 -0.437 -2.978
0.000 0.000 0.000
-1.518 -0.874 -5.956
```



Version x
Density functional theory data (PBE) for a relaxed TlNiCl2 crystal.

total magnetization = 0.981 μB/cell

Geometry as POSCAR:
```
TlNiCl2
1.0
6.146 -0.072 0.259
5.217 3.250 0.259
2.812 0.786 4.884
Ni Cl Tl
1 2 1
Cartesian
6.046 1.691 2.094
11.663 3.262 3.912
0.417 0.117 0.292
3.137 0.877 1.806
```



Most favorable structure: version x. The second most favorable one is 0.531 eV/atom above it.



Version w
Density functional theory data (PBE) for a relaxed TlNiCl2 crystal.

total magnetization = 1.262 μB/cell

Geometry as POSCAR:
```
TlNiCl2
1.0
-7.726 3.540 -0.108
-8.454 0.185 0.858
-7.401 2.556 3.304
Cl Ni Tl
2 1 1
Cartesian
-12.493 3.327 2.148
-22.879 6.094 3.934
-5.895 1.570 1.014
-17.686 4.711 3.041
```



Version x
Density functional theory data (PBE) for a relaxed TlNiCl2 crystal.

total magnetization = 1.036 μB/cell

Geometry as POSCAR:
```
TlNiCl2
1.0
3.473 0.000 0.000
0.000 3.473 0.000
0.000 0.000 8.027
Ni Cl Tl
1 2 1
Cartesian
0.000 0.000 2.491
0.000 0.000 0.200
1.737 1.737 2.973
1.737 1.737 6.377
```



Version y
Density functional theory data (PBE) for a relaxed TlNiCl2 crystal.

total magnetization = 1.019 μB/cell

Geometry as POSCAR:
```
TlNiCl2
1.0
-4.151 1.430 3.727
1.591 -2.281 5.043
1.282 3.891 -4.049
Ni Tl Cl
1 1 2
Cartesian
-2.075 2.448 2.032
0.796 0.592 2.690
-1.487 -0.494 5.093
-2.354 -0.783 8.063
```



Version z
Density functional theory data (PBE) for a relaxed TlNiCl2 crystal.

total magnetization = 1.014 μB/cell

Geometry as POSCAR:
```
TlNiCl2
1.0
-1.270 0.665 3.017
1.705 -2.568 1.284
5.891 4.639 1.456
Cl Ni Tl
2 1 1
Cartesian
2.638 2.077 0.652
0.307 0.242 0.076
1.690 0.208 2.514
4.636 2.528 3.242
```



Most favorable structure: version y. The second most favorable one is 0.086 eV/atom above it.



Version w
Density functional theory data (PBE) for a relaxed TlNiCl6 crystal.

total magnetization = 1.113 μB/cell

Geometry as POSCAR:
```
TlNiCl6
1.0
-3.133 -1.631 -5.132
6.539 -2.475 1.918
-4.268 -2.410 4.592
Ni Cl Tl
1 6 1
Cartesian
3.270 -1.238 0.959
3.341 -2.507 -0.878
4.055 -3.061 2.249
-4.916 -3.456 -0.871
-1.902 -4.588 0.028
0.065 -1.600 -2.336
1.040 -1.929 1.350
0.000 0.000 0.000
```



Version x
Density functional theory data (PBE) for a relaxed TlNiCl6 crystal.

total magnetization = 0.965 μB/cell

Geometry as POSCAR:
```
TlNiCl6
1.0
6.470 0.063 0.117
3.279 5.313 0.173
3.338 1.893 5.752
Cl Ni Tl
6 1 1
Cartesian
5.513 1.599 1.431
7.758 1.918 4.469
7.574 5.671 4.612
4.224 3.541 4.521
8.863 3.728 1.522
5.329 5.351 1.574
0.000 0.000 0.000
6.543 3.635 3.021
```



Most favorable structure: version x. The second most favorable one is 0.006 eV/atom above it.